--- i ---
Entry from Alexandria: a relaxed LiCrSnO4 crystal (PBE with a Hubbard U). Values from VASP.

```
&SYSTEM
  ibrav = 0, nat = 28, ntyp = 4
/
ATOMIC_SPECIES
Li 6.94 Li.upf
Cr 52.00 Cr.upf
Sn 118.71 Sn.upf
O 16.00 O.upf
CELL_PARAMETERS angstrom
-0.522 6.048 0.559
-5.671 -0.687 2.129
3.052 -0.475 7.978
ATOMIC_POSITIONS angstrom
Li -1.841 5.888 1.054
Li -2.826 -0.764 5.623
Li 0.642 1.288 2.125
Li -3.783 3.599 8.541
Cr 1.416 2.383 8.774
Cr -3.031 2.267 5.881
Cr -2.199 1.005 3.194
Cr -0.942 3.882 7.471
Sn 0.344 1.057 5.665
Sn -1.701 0.598 8.713
Sn -0.677 4.170 3.947
Sn -4.248 3.949 3.007
O -0.730 -0.182 2.570
O -3.435 -0.508 3.570
O 2.803 1.097 8.159
O -4.169 0.673 6.229
O -0.493 4.450 0.461
O -4.423 3.554 6.483
O 0.289 5.396 7.083
O -2.406 5.068 8.110
O -2.822 1.251 1.280
O -1.597 1.001 5.131
O -1.019 2.616 2.712
O -3.628 2.277 3.943
O 0.571 2.597 6.943
O -2.206 2.284 7.734
O -1.761 3.860 5.617
O -0.102 3.662 9.304
```

--- ii ---
Entry from Alexandria: a relaxed LiCrSnO4 crystal (PBE with a Hubbard U). Values from VASP.

```
&SYSTEM
  ibrav = 0, nat = 14, ntyp = 4
/
ATOMIC_SPECIES
Li 6.94 Li.upf
Cr 52.00 Cr.upf
Sn 118.71 Sn.upf
O 16.00 O.upf
CELL_PARAMETERS angstrom
-4.710 3.751 0.642
-4.618 -0.216 -4.063
-5.427 -2.242 1.844
ATOMIC_POSITIONS angstrom
Li -10.614 1.225 0.645
Li -4.141 0.068 -2.222
Cr -2.713 -1.121 0.922
Cr -5.068 0.755 1.243
Sn -2.355 1.876 0.321
Sn -7.377 0.646 -0.788
O -11.097 0.968 -1.400
O -6.126 2.069 0.083
O -8.629 -0.776 -1.660
O -3.658 0.325 -0.177
O -8.609 1.092 0.874
O -6.415 -0.655 0.575
O -6.146 0.201 -2.451
O -8.339 1.948 -2.152
```

It is i that is the least stable of them.

--- i ---
Entry from Alexandria: a relaxed Sr2LiZrCrO6 crystal (PBE with a Hubbard U). Values from VASP.

```
&SYSTEM
  ibrav = 0, nat = 11, ntyp = 5
/
ATOMIC_SPECIES
Sr 87.62 Sr.upf
Li 6.94 Li.upf
Zr 91.22 Zr.upf
Cr 52.00 Cr.upf
O 16.00 O.upf
CELL_PARAMETERS angstrom
-0.586 3.242 4.986
3.761 -4.505 -0.245
2.545 2.359 -4.537
ATOMIC_POSITIONS angstrom
Sr 2.700 1.906 -1.231
Sr 3.626 -1.088 1.216
Li 1.083 1.527 4.553
Zr 3.365 -1.049 -2.447
Cr 0.078 0.156 0.008
O 1.566 -0.207 -1.376
O 4.971 -1.841 -3.379
O 1.414 1.343 1.129
O 4.527 0.027 -0.960
O 2.516 0.580 3.875
O 3.276 0.822 -3.487
```

--- ii ---
Entry from Alexandria: a relaxed Sr2LiZrCrO6 crystal (PBE with a Hubbard U). Values from VASP.

```
&SYSTEM
  ibrav = 0, nat = 11, ntyp = 5
/
ATOMIC_SPECIES
Sr 87.62 Sr.upf
Li 6.94 Li.upf
Zr 91.22 Zr.upf
Cr 52.00 Cr.upf
O 16.00 O.upf
CELL_PARAMETERS angstrom
5.408 -2.843 0.006
5.408 2.843 0.006
3.908 0.000 4.696
ATOMIC_POSITIONS angstrom
Sr 11.234 0.000 3.592
Sr 4.342 0.000 1.388
Li 1.932 0.000 0.618
Zr 7.429 0.000 2.376
Cr 14.519 0.000 4.642
O 6.276 -1.443 1.132
O 8.230 1.476 3.526
O 5.515 0.000 3.513
O 9.009 0.000 1.091
O 8.230 -1.476 3.526
O 6.276 1.443 1.132
```

It is ii that is the least stable of them.

--- i ---
Entry from Alexandria: a relaxed Li2Cr3TeO8 crystal (PBE with a Hubbard U). Values from VASP.

```
&SYSTEM
  ibrav = 0, nat = 14, ntyp = 4
/
ATOMIC_SPECIES
Li 6.94 Li.upf
Cr 52.00 Cr.upf
Te 127.60 Te.upf
O 16.00 O.upf
CELL_PARAMETERS angstrom
5.375 -3.009 0.003
5.375 3.009 0.003
3.687 0.000 4.934
ATOMIC_POSITIONS angstrom
Li 1.880 0.000 0.643
Li 12.556 0.000 4.297
Cr 4.531 -1.505 2.469
Cr 5.375 0.000 0.003
Cr 4.531 1.505 2.469
Te 7.218 0.000 2.470
O 3.839 0.000 1.314
O 6.188 -1.378 1.277
O 5.415 0.000 3.535
O 6.188 1.378 1.277
O 8.248 -1.378 3.663
O 9.021 0.000 1.405
O 8.248 1.378 3.663
O 10.597 0.000 3.626
```

--- ii ---
Entry from Alexandria: a relaxed Li2Cr3TeO8 crystal (PBE with a Hubbard U). Values from VASP.

```
&SYSTEM
  ibrav = 0, nat = 28, ntyp = 4
/
ATOMIC_SPECIES
Li 6.94 Li.upf
Cr 52.00 Cr.upf
Te 127.60 Te.upf
O 16.00 O.upf
CELL_PARAMETERS angstrom
6.007 0.000 0.000
-3.003 5.202 0.000
0.000 0.000 9.768
ATOMIC_POSITIONS angstrom
Li 0.000 3.468 8.853
Li 0.000 0.000 9.678
Li 0.000 0.000 4.794
Li 3.003 1.734 3.969
Cr -1.476 4.320 2.097
Cr 0.000 1.763 2.097
Cr 1.476 4.320 2.097
Cr 1.527 0.882 6.981
Cr 3.003 3.439 6.981
Cr 4.480 0.882 6.981
Te 0.000 3.468 4.776
Te 3.003 1.734 9.660
O -1.571 4.375 5.827
O -1.349 2.689 3.308
O 0.000 3.468 1.080
O 0.000 0.000 3.005
O 0.000 0.000 7.889
O 0.000 1.654 5.827
O 0.000 5.025 3.308
O 1.349 2.689 3.308
O 1.432 0.827 0.943
O 1.571 4.375 5.827
O 1.655 2.513 8.192
O 3.003 0.177 8.192
O 3.003 1.734 5.964
O 3.003 3.548 0.943
O 4.352 2.513 8.192
O 4.574 0.827 0.943
```

It is i that is the least stable of them.

--- i ---
Entry from Alexandria: a relaxed Li2TiCrO4 crystal (PBE with a Hubbard U). Values from VASP.

```
&SYSTEM
  ibrav = 0, nat = 16, ntyp = 4
/
ATOMIC_SPECIES
Li 6.94 Li.upf
Ti 47.87 Ti.upf
Cr 52.00 Cr.upf
O 16.00 O.upf
CELL_PARAMETERS angstrom
-1.592 -4.945 2.875
-1.349 -2.582 -5.174
5.381 2.263 0.827
ATOMIC_POSITIONS angstrom
Li 0.424 -5.105 0.701
Li 1.220 -2.632 -0.736
Li 3.236 -2.792 -2.910
Li -1.471 -3.763 -1.150
Ti -0.251 -6.396 -1.886
Ti 0.000 0.000 0.000
Cr -0.675 -1.291 -2.587
Cr 1.894 -1.341 1.851
O -1.327 -3.125 -3.195
O 1.929 -0.712 -0.096
O 1.201 -2.062 -2.807
O -2.183 -5.713 -1.689
O 4.623 0.449 0.216
O 1.239 -3.202 1.334
O 0.511 -4.552 -1.377
O 3.767 -2.140 1.723
```

--- ii ---
Entry from Alexandria: a relaxed Li2TiCrO4 crystal (PBE with a Hubbard U). Values from VASP.

```
&SYSTEM
  ibrav = 0, nat = 32, ntyp = 4
/
ATOMIC_SPECIES
Li 6.94 Li.upf
Ti 47.87 Ti.upf
Cr 52.00 Cr.upf
O 16.00 O.upf
CELL_PARAMETERS angstrom
-5.062 -3.046 -0.296
2.480 -3.737 -7.523
2.505 -4.494 2.918
ATOMIC_POSITIONS angstrom
Li 1.257 -5.113 0.166
Li -1.323 -6.214 -5.141
Li -1.347 -8.985 -6.290
Li 1.203 -7.878 -0.996
Li -0.019 -2.860 -1.291
Li -0.043 -8.441 -3.595
Li 1.169 -7.461 -6.161
Li -3.761 -4.945 -4.107
Ti -1.265 -6.619 0.101
Ti 1.169 -4.661 -4.983
Ti -2.540 -6.767 -7.804
Ti -0.078 -5.648 -2.493
Cr 2.509 -4.146 -2.318
Cr 2.482 -6.909 -3.502
Cr 2.452 -9.714 -4.754
Cr -2.565 -4.379 -1.380
O -0.834 -7.023 -6.968
O 1.834 -5.979 -1.791
O 0.497 -7.027 0.738
O 2.993 -5.045 -4.099
O -3.056 -6.325 -0.836
O -0.586 -4.202 -5.654
O -1.819 -5.438 -3.307
O 3.128 -7.803 -5.220
O -1.982 -8.392 0.860
O 0.642 -6.502 -4.244
O -1.889 -5.734 1.840
O 0.678 -3.850 -3.135
O -0.738 -7.460 -1.772
O 1.802 -5.486 -6.751
O -0.645 -4.836 -0.698
O 4.322 -7.341 -2.792
```

It is i that is the least stable of them.

--- i ---
Entry from Alexandria: a relaxed Li3V3CrO8 crystal (PBE with a Hubbard U). Values from VASP.

```
&SYSTEM
  ibrav = 0, nat = 30, ntyp = 4
/
ATOMIC_SPECIES
Li 6.94 Li.upf
V 50.94 V.upf
Cr 52.00 Cr.upf
O 16.00 O.upf
CELL_PARAMETERS angstrom
5.224 0.012 0.007
1.750 5.719 0.009
2.618 2.351 10.138
ATOMIC_POSITIONS angstrom
Li 2.641 3.902 7.527
Li 0.875 1.239 2.577
Li 6.090 2.906 0.054
Li 8.712 6.822 7.687
Li 1.811 2.714 5.067
Li 1.775 4.238 2.535
V 5.196 3.129 8.893
V 5.229 4.671 6.327
V 5.213 6.215 3.875
V 3.526 2.066 1.219
V 6.010 6.044 8.901
V 4.469 1.773 6.291
Cr 4.330 3.387 3.783
Cr 4.362 4.948 1.281
O 3.655 5.182 3.129
O 1.932 1.048 0.697
O 4.422 4.926 8.251
O 4.520 6.490 5.601
O 2.750 2.282 3.111
O 2.749 3.813 0.735
O 3.617 2.081 8.110
O 3.678 3.546 5.677
O 5.925 4.434 4.381
O 5.932 6.045 2.046
O 6.825 4.253 9.633
O 6.819 5.729 7.050
O 5.070 1.614 4.361
O 5.090 3.148 1.896
O 7.632 7.050 9.528
O 6.051 2.915 7.009
```

--- ii ---
Entry from Alexandria: a relaxed Li3V3CrO8 crystal (PBE with a Hubbard U). Values from VASP.

```
&SYSTEM
  ibrav = 0, nat = 15, ntyp = 4
/
ATOMIC_SPECIES
Li 6.94 Li.upf
V 50.94 V.upf
Cr 52.00 Cr.upf
O 16.00 O.upf
CELL_PARAMETERS angstrom
2.046 6.194 -0.004
-2.046 6.194 -0.004
0.000 1.879 6.232
ATOMIC_POSITIONS angstrom
Li 0.000 12.376 2.253
Li 0.000 10.154 0.024
Li 0.000 1.979 3.983
V 0.000 6.224 4.384
V 0.000 10.109 4.327
V 0.000 8.049 1.791
Cr 0.000 4.096 1.965
O 0.000 6.161 6.178
O 0.000 6.097 2.306
O 0.000 12.260 4.298
O 0.000 4.130 4.002
O 0.000 10.164 2.077
O 0.000 2.092 2.015
O 0.000 8.079 3.968
O 0.000 10.027 6.172
```

It is ii that is the least stable of them.

--- i ---
Entry from Alexandria: a relaxed Li2VCr2O6 crystal (PBE with a Hubbard U). Values from VASP.

```
&SYSTEM
  ibrav = 0, nat = 33, ntyp = 4
/
ATOMIC_SPECIES
Li 6.94 Li.upf
V 50.94 V.upf
Cr 52.00 Cr.upf
O 16.00 O.upf
CELL_PARAMETERS angstrom
-7.847 0.294 0.337
-3.113 -2.016 -6.930
-1.411 -5.778 0.918
ATOMIC_POSITIONS angstrom
Li -9.827 -4.300 -1.339
Li -6.670 -5.840 -6.185
Li -2.544 -3.200 -4.337
Li -5.701 -1.659 0.510
Li -4.684 -1.249 -4.518
Li -6.276 -0.473 -2.075
V -5.407 -4.130 -4.032
V -0.705 -2.889 0.459
V -6.963 -3.370 -1.643
Cr -1.272 -1.614 -2.139
Cr -7.513 -2.085 -4.231
Cr -2.829 -0.854 0.251
Cr -11.099 -5.886 -3.536
Cr -9.542 -6.646 -5.927
Cr -4.858 -5.415 -1.444
O -5.911 -2.438 -3.076
O -9.507 -6.193 -2.318
O -7.878 -6.988 -4.818
O -6.460 -5.062 -2.599
O -8.541 -3.044 -2.702
O -6.923 -3.833 -5.186
O -2.864 -1.306 -3.357
O -9.106 -1.812 -5.356
O -4.493 -0.512 -0.858
O -3.830 -4.456 -2.973
O -10.140 -4.870 -5.058
O -5.448 -3.666 -0.489
O -4.335 -3.231 -5.448
O -7.453 -1.709 -0.662
O -3.265 -5.688 -0.319
O -4.918 -5.790 -5.014
O -8.036 -4.269 -0.227
O -2.231 -2.630 -0.617
```

--- ii ---
Entry from Alexandria: a relaxed Li2VCr2O6 crystal (PBE with a Hubbard U). Values from VASP.

```
&SYSTEM
  ibrav = 0, nat = 22, ntyp = 4
/
ATOMIC_SPECIES
Li 6.94 Li.upf
V 50.94 V.upf
Cr 52.00 Cr.upf
O 16.00 O.upf
CELL_PARAMETERS angstrom
5.110 0.000 0.000
0.001 10.159 0.000
-2.555 0.000 4.508
ATOMIC_POSITIONS angstrom
Li -0.541 7.619 2.254
Li 0.542 2.539 2.253
Li 2.014 7.620 2.254
Li 3.097 2.540 2.254
V 0.000 5.080 4.508
V 2.556 10.159 4.508
Cr 2.555 0.000 1.487
Cr 2.555 5.080 3.021
Cr 0.000 5.080 1.487
Cr 0.001 10.159 3.021
O 0.948 6.060 0.000
O 1.608 0.980 0.000
O 3.503 9.179 0.000
O 4.163 4.099 0.000
O -0.821 1.079 1.538
O 3.376 9.080 2.970
O -0.820 4.001 2.970
O 0.821 6.159 2.970
O 0.821 9.080 1.538
O 1.735 4.001 1.538
O 3.376 6.158 1.538
O 1.735 1.079 2.970
```

It is ii that is the least stable of them.

--- i ---
Entry from Alexandria: a relaxed Li2VCr3O8 crystal (PBE with a Hubbard U). Values from VASP.

```
&SYSTEM
  ibrav = 0, nat = 14, ntyp = 4
/
ATOMIC_SPECIES
Li 6.94 Li.upf
V 50.94 V.upf
Cr 52.00 Cr.upf
O 16.00 O.upf
CELL_PARAMETERS angstrom
5.910 0.000 0.000
-2.955 5.147 0.012
0.000 -3.324 4.941
ATOMIC_POSITIONS angstrom
Li -1.478 0.911 2.476
Li 1.478 0.911 2.476
V 0.000 0.000 0.000
Cr 2.955 0.000 0.000
Cr -1.478 2.573 0.006
Cr 1.478 2.573 0.006
O 2.955 0.202 3.890
O 0.000 1.621 1.062
O 0.000 0.138 3.910
O 2.955 1.685 1.042
O 4.515 -2.528 3.931
O 1.395 -2.528 3.931
O 1.560 4.351 1.021
O -1.560 4.351 1.021
```

--- ii ---
Entry from Alexandria: a relaxed Li2VCr3O8 crystal (PBE with a Hubbard U). Values from VASP.

```
&SYSTEM
  ibrav = 0, nat = 14, ntyp = 4
/
ATOMIC_SPECIES
Li 6.94 Li.upf
V 50.94 V.upf
Cr 52.00 Cr.upf
O 16.00 O.upf
CELL_PARAMETERS angstrom
5.903 -0.007 -0.005
2.869 5.159 -0.005
2.869 1.685 4.876
ATOMIC_POSITIONS angstrom
Li 1.508 0.886 0.631
Li 10.132 5.951 4.235
V 5.820 3.418 2.433
Cr 2.869 3.422 2.435
Cr 4.386 0.839 2.435
Cr 4.386 2.576 -0.005
O 3.073 1.805 1.284
O 8.567 5.032 3.581
O 4.427 2.600 3.467
O 4.427 4.127 1.322
O 5.761 1.857 1.322
O 5.879 4.980 3.544
O 7.212 2.710 3.544
O 7.212 4.236 1.399
```

It is i that is the least stable of them.